# Cs2CuP2Pd2

A geometry-optimized Cs2CuP2Pd2 structure (PBE, the Alexandria database).

Unit cell a=6.5526 b=6.5526 c=8.9271 alpha=121.81 beta=121.81 gamma=39.75
Closest atoms and distances in Å follow each position.
Element x y z (fractional)
Cs  0.0655  0.0655  0.3381  2 Cu 3.46, 4 P 3.62-3.86, 3 Pd 3.68-3.87
Cs  0.9345  0.9345  0.6619  2 Cu 3.46, 4 P 3.62-3.86, 3 Pd 3.68-3.87
Cu  0.5000  0.5000  0.0000  2 P 2.23
P  0.2827  0.2827  0.8515  1 Cu 2.23, 3 Pd 2.37-2.41
P  0.7173  0.7173  0.1485  1 Cu 2.23, 3 Pd 2.37-2.41
Pd  0.2553  0.2553  0.0981  3 P 2.37-2.41
Pd  0.7447  0.7447  0.9019  3 P 2.37-2.41

Output
Its density of states at the Fermi level is 3.25 states/eV/cell. The calculation puts the density at 4.94 Mg/m³. The total DFT energy (no corrections) comes out at -29.8 eV per cell. The space group is C2/m (12).